# 1
The following is a DFT calculation (PBE-GGA) of crystalline YPt2Rh2 at its relaxed geometry.

a = 7.303 Å, b = 7.303 Å, c = 3.302 Å
α = 90.00°, β = 90.00°, γ = 90.00°
Sites, in units of the cell vectors:
Y1 0.000 0.000 0.000
Y2 0.500 0.500 0.000
Pt1 0.129 0.371 0.000
Pt2 0.371 0.871 0.000
Pt3 0.629 0.129 0.000
Pt4 0.871 0.629 0.000
Rh1 0.169 0.669 0.500
Rh2 0.331 0.169 0.500
Rh3 0.669 0.831 0.500
Rh4 0.831 0.331 0.500

Calculated values
Total magnetization = 0.00 μB/f.u.
Energy relative to the lowest polymorph listed for this composition = 7.0 kJ/mol of atoms
Total DFT energy (no corrections) = -70.1 eV per cell
DFT formation energy = -0.36 eV per atom
Space group = P4/mbm


# 2
The following is a DFT calculation (PBE-GGA) of crystalline Y2PtRh at its relaxed geometry.

a = 6.810 Å, b = 6.810 Å, c = 6.810 Å
α = 90.00°, β = 90.00°, γ = 90.00°
Sites, in units of the cell vectors:
Y1 0.000 0.000 0.000
Y2 0.000 0.500 0.500
Y3 0.250 0.250 0.250
Y4 0.250 0.750 0.750
Y5 0.500 0.000 0.500
Y6 0.500 0.500 0.000
Y7 0.750 0.250 0.750
Y8 0.750 0.750 0.250
Pt1 0.250 0.250 0.750
Pt2 0.250 0.750 0.250
Pt3 0.750 0.250 0.250
Pt4 0.750 0.750 0.750
Rh1 0.000 0.000 0.500
Rh2 0.000 0.500 0.000
Rh3 0.500 0.000 0.000
Rh4 0.500 0.500 0.500

Calculated values
Total magnetization = 0.00 μB/f.u.
Total DFT energy (no corrections) = -114.0 eV per cell
DFT formation energy = -0.54 eV per atom
Space group = F-43m


# 3
The following is a DFT calculation (PBE-GGA) of crystalline YPtRh2 at its relaxed geometry.

a = 3.033 Å, b = 4.654 Å, c = 5.100 Å
α = 90.00°, β = 99.43°, γ = 90.00°
Sites, in units of the cell vectors:
Y1 0.000 0.000 0.000
Pt1 0.500 0.000 0.500
Rh1 0.345 0.500 0.730
Rh2 0.655 0.500 0.270

Calculated values
Total magnetization = 0.00 μB/f.u.
Total DFT energy (no corrections) = -28.6 eV per cell
DFT formation energy = -0.34 eV per atom
Space group = P2/m


# 4
The following is a DFT calculation (PBE-GGA) of crystalline Y8Pt5Rh at its relaxed geometry.

a = 7.564 Å, b = 7.564 Å, c = 7.564 Å
α = 109.59°, β = 109.59°, γ = 109.23°
Sites, in units of the cell vectors:
Y1 0.122 0.373 0.120
Y2 0.132 0.381 0.630
Y3 0.254 0.002 0.880
Y4 0.498 0.868 0.249
Y5 0.619 0.248 0.751
Y6 0.627 0.746 0.749
Y7 0.752 0.502 0.370
Y8 0.998 0.878 0.251
Pt1 0.250 0.750 0.500
Pt2 0.377 0.253 0.374
Pt3 0.747 0.121 0.124
Pt4 0.879 0.003 0.626
Pt5 0.997 0.623 0.876
Rh1 0.500 0.500 0.000

Calculated values
Total magnetization = 0.00 μB/f.u.
Total DFT energy (no corrections) = -103.7 eV per cell
DFT formation energy = -1.03 eV per atom
Space group = I-4


Question: Number 3 is which compound?
Answer: YPtRh2


What did the fourth record say?
The following is a DFT calculation (PBE-GGA) of crystalline Y8Pt5Rh at its relaxed geometry.

a = 7.564 Å, b = 7.564 Å, c = 7.564 Å
α = 109.59°, β = 109.59°, γ = 109.23°
Sites, in units of the cell vectors:
Y1 0.122 0.373 0.120
Y2 0.132 0.381 0.630
Y3 0.254 0.002 0.880
Y4 0.498 0.868 0.249
Y5 0.619 0.248 0.751
Y6 0.627 0.746 0.749
Y7 0.752 0.502 0.370
Y8 0.998 0.878 0.251
Pt1 0.250 0.750 0.500
Pt2 0.377 0.253 0.374
Pt3 0.747 0.121 0.124
Pt4 0.879 0.003 0.626
Pt5 0.997 0.623 0.876
Rh1 0.500 0.500 0.000

Calculated values
Total magnetization = 0.00 μB/f.u.
Total DFT energy (no corrections) = -103.7 eV per cell
DFT formation energy = -1.03 eV per atom
Space group = I-4


Question: Among the records above, which one has the highest DFT formation energy?
Answer: YPtRh2